A relaxed CaUP2 crystal, computed with PBE-GGA.

```
data_CaUP2
_chemical_formula_sum 'Ca3 U3 P6'
_symmetry_space_group_name_H-M 'R -3 m'
_symmetry_Int_Tables_number 166
_symmetry_space_group_name_Hall '-R 3 2"'
_cell_length_a 4.0190
_cell_length_b 4.0190
_cell_length_c 19.9990
_cell_angle_alpha 90.00
_cell_angle_beta 90.00
_cell_angle_gamma 120.00
loop_
_atom_site_label
_atom_site_type_symbol
_atom_site_fract_x
_atom_site_fract_y
_atom_site_fract_z
Ca1 Ca 0.0000 0.0000 0.0000
U1 U 0.0000 0.0000 0.5000
P1 P 0.0000 0.0000 0.2425
```

* size of the total moment: 5.922 μB per cell
* V: 23.31 Å³ per atom
* energy relative to the lowest polymorph listed for this composition: 0.0000 eV/atom
* formation energy: -1.064 eV/atom